A plane-wave DFT calculation with GGA-PBE was carried out for a geometry-optimized VHg2HW structure.

Lattice parameters (Å, degrees): 5.333 3.238 5.333 90.00 90.00 90.00
Last column: magnetic moment on the atom in μB.
Atoms (fractional coordinates):
1 Hg 0.500 0.000 0.000  0.02
2 Hg 0.000 0.000 0.500  0.03
3 H 0.000 0.500 0.000  0.00
4 V 0.500 0.500 0.500  -0.38
5 W 0.000 0.000 0.000  0.25

Results
The uncorrected energy is -3.99 eV/atom. The value obtained for the spin magnetization is 0.013 μB per atom. As for the space group: P4/mmm (123).

---

A plane-wave DFT calculation with GGA-PBE was carried out for a geometry-optimized GeP structure.

Lattice parameters (Å, degrees): 4.036 4.036 4.036 60.00 60.00 60.00
Atoms (fractional coordinates):
1 Ge 0.000 0.000 0.000
2 P 0.250 0.250 0.250

Results
The value obtained for the spin magnetization is 0.000 μB per atom. As for the formation energy: 0.52 eV/f.u. As for the space group: F-43m (216).

---

A plane-wave DFT calculation with GGA-PBE was carried out for a geometry-optimized URe2 structure.

Lattice parameters (Å, degrees): 2.976 2.976 6.329 103.60 103.60 90.00
Atoms (fractional coordinates):
1 Re 0.685 0.685 0.371
2 Re 0.315 0.315 0.629
3 U 0.000 0.000 0.000

Results
For the offset from the most stable computed form, the calculation gives 48 meV per atom. The value obtained for the spin magnetization is 0.000 μB per atom. As for the formation energy: 0.10 eV/f.u. As for the space group: I4/mmm (139).

---

A plane-wave DFT calculation with GGA-PBE was carried out for a geometry-optimized ZrMnRh2 structure.

Lattice parameters (Å, degrees): 9.085 9.085 9.085 18.20 18.20 18.20
Last column: magnetic moment on the atom in μB.
Atoms (fractional coordinates):
1 Zr 0.500 0.500 0.500  -0.12
2 Mn 0.743 0.743 0.743  2.92
3 Rh 0.004 0.004 0.004  -0.30
4 Rh 0.253 0.253 0.253  -0.47

Results
The value obtained for the spin magnetization is 0.518 μB per atom. As for the formation energy: 0.27 eV/f.u. As for the space group: R3m (160).

---

A plane-wave DFT calculation with GGA-PBE was carried out for a geometry-optimized RbCu2Sb2Te6 structure.

Lattice parameters (Å, degrees): 7.316 11.373 7.486 127.29 89.99 71.17
Atoms (fractional coordinates):
1 Te 0.572 0.334 0.080
2 Te 0.905 0.666 0.920
3 Te 0.428 0.666 0.920
4 Te 0.064 0.871 0.610
5 Te 0.095 0.334 0.080
6 Te 0.936 0.129 0.390
7 Cu 0.856 0.288 0.254
8 Cu 0.144 0.712 0.746
9 Sb 0.796 0.407 0.856
10 Sb 0.204 0.593 0.144
11 Rb 0.500 0.000 0.500

Results
The value obtained for the spin magnetization is 0.000 μB per atom. The uncorrected formation energy is -10 kJ/mol of atoms. As for the space group: P-1 (2).

---

A plane-wave DFT calculation with GGA-PBE was carried out for a geometry-optimized CrAgSb2 structure.

Lattice parameters (Å, degrees): 4.702 4.702 9.489 75.65 75.65 90.00
Last column: magnetic moment on the atom in μB.
Atoms (fractional coordinates):
1 Cr 0.500 0.500 0.000  3.65
2 Cr 0.250 0.750 0.500  3.65
3 Sb 0.135 0.625 0.250  -0.05
4 Sb 0.615 0.125 0.250  -0.05
5 Sb 0.875 0.865 0.750  -0.05
6 Sb 0.375 0.385 0.750  -0.05
7 Ag 0.750 0.250 0.500  0.02
8 Ag 0.000 0.000 0.000  0.02

Results
For the offset from the most stable computed form, the calculation gives 111 meV per atom. The value obtained for the spin magnetization is 1.018 μB per atom. The uncorrected formation energy is 31 kJ/mol of atoms. As for the space group: I-42d (122).